No. 1
PBE EuInPdRh, relaxed; V = 19.840 A^3/atom; E = -6.874 eV/atom
1.0
0.0000 3.4108 3.4108
3.4108 0.0000 3.4108
3.4108 3.4108 0.0000
Eu In Pd Rh
1 1 1 1
Cartesian
0.0000 0.0000 0.0000 Eu
3.4108 3.4108 3.4108 In
5.1162 5.1162 5.1162 Pd
1.7054 1.7054 1.7054 Rh

No. 2
PBE EuScInPd, relaxed; V = 23.627 A^3/atom; E = -6.583 eV/atom
1.0
0.0000 3.6153 3.6153
3.6153 0.0000 3.6153
3.6153 3.6153 0.0000
Eu Sc In Pd
1 1 1 1
Cartesian
0.0000 0.0000 0.0000 Eu
3.6153 3.6153 3.6153 Sc
5.4230 5.4230 5.4230 In
1.8077 1.8077 1.8077 Pd

No. 3
PBE SmEuInPd, relaxed; V = 26.383 A^3/atom; E = -6.231 eV/atom
1.0
0.0000 3.7508 3.7508
3.7508 0.0000 3.7508
3.7508 3.7508 0.0000
Sm Eu In Pd
1 1 1 1
Cartesian
0.0000 0.0000 0.0000 Sm
3.7508 3.7508 3.7508 Eu
5.6262 5.6262 5.6262 In
1.8754 1.8754 1.8754 Pd

No. 4
PBE TbEuInPd, relaxed; V = 25.739 A^3/atom; E = -6.218 eV/atom
1.0
0.0000 3.7200 3.7200
3.7200 0.0000 3.7200
3.7200 3.7200 0.0000
Tb Eu In Pd
1 1 1 1
Cartesian
0.0000 0.0000 0.0000 Tb
3.7200 3.7200 3.7200 Eu
5.5799 5.5799 5.5799 In
1.8600 1.8600 1.8600 Pd

No. 5
PBE EuTmInPd, relaxed; V = 25.063 A^3/atom; E = -6.179 eV/atom
1.0
0.0000 3.6871 3.6871
3.6871 0.0000 3.6871
3.6871 3.6871 0.0000
Eu Tm In Pd
1 1 1 1
Cartesian
0.0000 0.0000 0.0000 Eu
3.6871 3.6871 3.6871 Tm
1.8436 1.8436 1.8436 In
5.5307 5.5307 5.5307 Pd

No. 6
PBE EuYInPd, relaxed; V = 25.683 A^3/atom; E = -6.685 eV/atom
1.0
0.0000 3.7173 3.7173
3.7173 0.0000 3.7173
3.7173 3.7173 0.0000
Eu Y In Pd
1 1 1 1
Cartesian
0.0000 0.0000 0.0000 Eu
3.7173 3.7173 3.7173 Y
5.5759 5.5759 5.5759 In
1.8586 1.8586 1.8586 Pd

No. 7
PBE PmEuIn, relaxed; energy relative to the lowest polymorph listed for this composition = 153 meV/atom; V = 37.232 A^3/atom
1.0
0.0000 3.8224 3.8224
3.8224 0.0000 3.8224
3.8224 3.8224 0.0000
Pm Eu In
1 1 1
Cartesian
0.0000 0.0000 0.0000 Pm
3.8224 3.8224 3.8224 Eu
1.9112 1.9112 1.9112 In

No. 8
PBE PmEuIn, relaxed; energy relative to the lowest polymorph listed for this composition = 0 meV/atom; V = 32.579 A^3/atom
1.0
-1.9064 1.9064 6.7230
1.9064 -1.9064 6.7230
1.9064 1.9064 -6.7230
Pm Eu In
1 1 1
Cartesian
0.0000 0.0000 0.0000 Pm
0.0000 0.0000 9.4359 Eu
0.0000 0.0000 4.8128 In

No. 9
PBE PmEuIn, relaxed; energy relative to the lowest polymorph listed for this composition = 36 meV/atom; V = 31.020 A^3/atom
1.0
5.4240 0.0000 0.0000
-2.7120 4.6974 0.0000
0.0000 0.0000 3.6525
Pm Eu In
1 1 1
Cartesian
0.0000 0.0000 0.0000 Pm
2.7120 1.5658 1.4451 Eu
0.0000 3.1316 2.6668 In

No. 10
PBE PmPrEuIn, relaxed; V = 31.686 A^3/atom; E = -5.807 eV/atom
1.0
0.0000 3.9869 3.9869
3.9869 0.0000 3.9869
3.9869 3.9869 0.0000
Pm Pr Eu In
1 1 1 1
Cartesian
0.0000 0.0000 0.0000 Pm
3.9869 3.9869 3.9869 Pr
1.9934 1.9934 1.9934 Eu
5.9803 5.9803 5.9803 In

No. 11
PBE PmEuInPt, relaxed; V = 25.985 A^3/atom; E = -6.575 eV/atom
1.0
0.0000 3.7318 3.7318
3.7318 0.0000 3.7318
3.7318 3.7318 0.0000
Pm Eu In Pt
1 1 1 1
Cartesian
0.0000 0.0000 0.0000 Pm
3.7318 3.7318 3.7318 Eu
5.5977 5.5977 5.5977 In
1.8659 1.8659 1.8659 Pt

No. 12
PBE PmEuPuIn, relaxed; V = 30.159 A^3/atom; E = -8.016 eV/atom
1.0
0.0000 3.9218 3.9218
3.9218 0.0000 3.9218
3.9218 3.9218 0.0000
Pm Eu Pu In
1 1 1 1
Cartesian
0.0000 0.0000 0.0000 Pm
3.9218 3.9218 3.9218 Eu
5.8827 5.8827 5.8827 Pu
1.9609 1.9609 1.9609 In

No. 13
PBE PmEuInRu, relaxed; V = 24.852 A^3/atom; E = -6.865 eV/atom
1.0
0.0000 3.6767 3.6767
3.6767 0.0000 3.6767
3.6767 3.6767 0.0000
Pm Eu In Ru
1 1 1 1
Cartesian
0.0000 0.0000 0.0000 Pm
3.6767 3.6767 3.6767 Eu
5.5151 5.5151 5.5151 In
1.8384 1.8384 1.8384 Ru

No. 14
PBE PmEuScIn, relaxed; V = 28.622 A^3/atom; E = -6.086 eV/atom
1.0
0.0000 3.8540 3.8540
3.8540 0.0000 3.8540
3.8540 3.8540 0.0000
Pm Eu Sc In
1 1 1 1
Cartesian
0.0000 0.0000 0.0000 Pm
5.7810 5.7810 5.7810 Eu
1.9270 1.9270 1.9270 Sc
3.8540 3.8540 3.8540 In

No. 15
PBE PmEuInSi, relaxed; formation energy from raw total energies = -1.44 eV per formula unit; V = 26.471 A^3/atom
1.0
0.0000 3.7549 3.7549
3.7549 0.0000 3.7549
3.7549 3.7549 0.0000
Pm Eu In Si
1 1 1 1
Cartesian
0.0000 0.0000 0.0000 Pm
3.7549 3.7549 3.7549 Eu
5.6323 5.6323 5.6323 In
1.8774 1.8774 1.8774 Si

No. 16
PBE SrPmEuIn, relaxed; V = 34.273 A^3/atom; E = -4.968 eV/atom
1.0
0.0000 4.0926 4.0926
4.0926 0.0000 4.0926
4.0926 4.0926 0.0000
Sr Pm Eu In
1 1 1 1
Cartesian
0.0000 0.0000 0.0000 Sr
4.0926 4.0926 4.0926 Pm
6.1388 6.1388 6.1388 Eu
2.0463 2.0463 2.0463 In

No. 17
PBE PmEuThIn, relaxed; V = 31.345 A^3/atom; E = -6.288 eV/atom
1.0
0.0000 3.9725 3.9725
3.9725 0.0000 3.9725
3.9725 3.9725 0.0000
Pm Eu Th In
1 1 1 1
Cartesian
0.0000 0.0000 0.0000 Pm
1.9863 1.9863 1.9863 Eu
5.9588 5.9588 5.9588 Th
3.9725 3.9725 3.9725 In

No. 18
PBE PmEuTmIn, relaxed; V = 30.384 A^3/atom; E = -5.623 eV/atom
1.0
0.0000 3.9315 3.9315
3.9315 0.0000 3.9315
3.9315 3.9315 0.0000
Pm Eu Tm In
1 1 1 1
Cartesian
0.0000 0.0000 0.0000 Pm
1.9657 1.9657 1.9657 Eu
5.8972 5.8972 5.8972 Tm
3.9315 3.9315 3.9315 In

No. 19
PBE PmEuYIn, relaxed; V = 30.895 A^3/atom; E = -6.144 eV/atom
1.0
0.0000 3.9534 3.9534
3.9534 0.0000 3.9534
3.9534 3.9534 0.0000
Pm Eu Y In
1 1 1 1
Cartesian
0.0000 0.0000 0.0000 Pm
5.9301 5.9301 5.9301 Eu
1.9767 1.9767 1.9767 Y
3.9534 3.9534 3.9534 In

No. 20
PBE PmEuZnIn, relaxed; V = 27.799 A^3/atom; E = -5.121 eV/atom
1.0
0.0000 3.8167 3.8167
3.8167 0.0000 3.8167
3.8167 3.8167 0.0000
Pm Eu Zn In
1 1 1 1
Cartesian
0.0000 0.0000 0.0000 Pm
3.8167 3.8167 3.8167 Eu
5.7250 5.7250 5.7250 Zn
1.9083 1.9083 1.9083 In